No. 1
AcLaPdBr | the Alexandria database | GGA-PBE | optimized geometry; DFT total energy = -20.16 eV per cell; ΔE_f (raw) = -1.0658 eV per atom
1.0
2.172 1.254 8.152
-2.172 1.254 8.152
0.000 -2.508 8.152
Ac La Pd Br
1 1 1 1
Direct
0.000 0.000 0.000 Ac
0.200 0.200 0.200 La
0.597 0.597 0.597 Pd
0.772 0.772 0.772 Br

---

No. 2
AcLaRhBr | the Alexandria database | GGA-PBE | optimized geometry; DFT total energy = -22.72 eV per cell; ΔE_f (raw) = -1.1655 eV per atom
1.0
2.122 1.225 8.223
-2.122 1.225 8.223
0.000 -2.451 8.223
Ac La Rh Br
1 1 1 1
Direct
0.000 0.000 0.000 Ac
0.796 0.796 0.796 La
0.402 0.402 0.402 Rh
0.225 0.225 0.225 Br

---

No. 3
AcLaSbBr | the Alexandria database | GGA-PBE | optimized geometry; DFT total energy = -39.69 eV per cell; ΔE_f (raw) = -1.2536 eV per atom; energy relative to the lowest polymorph listed for this composition = 0.000 eV/atom
1.0
2.246 1.297 18.365
-2.246 1.297 18.365
0.000 -2.594 18.365
Ac La Sb Br
2 2 2 2
Direct
0.198 0.198 0.198 Ac
0.802 0.802 0.802 Ac
0.398 0.398 0.398 La
0.602 0.602 0.602 La
0.097 0.097 0.097 Sb
0.903 0.903 0.903 Sb
0.301 0.301 0.301 Br
0.699 0.699 0.699 Br

---

No. 4
AcLaSbBr | the Alexandria database | GGA-PBE | optimized geometry; DFT total energy = -19.62 eV per cell; ΔE_f (raw) = -1.1961 eV per atom; energy relative to the lowest polymorph listed for this composition = 0.057 eV/atom
1.0
0.000 3.953 3.953
3.953 0.000 3.953
3.953 3.953 0.000
Ac La Sb Br
1 1 1 1
Direct
0.000 0.000 0.000 Ac
0.500 0.500 0.500 La
0.250 0.250 0.250 Sb
0.750 0.750 0.750 Br

---

No. 5
AcLaSiBr | the Alexandria database | GGA-PBE | optimized geometry; DFT total energy = -19.72 eV per cell; ΔE_f (raw) = -0.8980 eV per atom; energy relative to the lowest polymorph listed for this composition = 0.000 eV/atom
1.0
0.000 3.830 3.830
3.830 0.000 3.830
3.830 3.830 0.000
Ac La Si Br
1 1 1 1
Direct
0.000 0.000 0.000 Ac
0.500 0.500 0.500 La
0.250 0.250 0.250 Si
0.750 0.750 0.750 Br

---

No. 6
AcLaSiBr | the Alexandria database | GGA-PBE | optimized geometry; DFT total energy = -19.07 eV per cell; ΔE_f (raw) = -0.7351 eV per atom; energy relative to the lowest polymorph listed for this composition = 0.163 eV/atom
1.0
6.220 0.000 0.000
0.000 2.632 4.632
0.000 -2.632 4.632
Ac La Si Br
1 1 1 1
Direct
0.000 0.000 0.000 Ac
0.500 0.670 0.670 La
0.500 0.001 0.001 Si
0.000 0.670 0.670 Br

---

No. 7
Ac2La4Sn3Br2 | the Alexandria database | GGA-PBE | optimized geometry; DFT total energy = -51.28 eV per cell; ΔE_f (raw) = -0.7275 eV per atom
1.0
-2.799 2.799 12.636
2.799 -2.799 12.636
2.799 2.799 -12.636
Ac La Sn Br
2 4 3 2
Direct
0.201 0.201 0.000 Ac
0.799 0.799 0.000 Ac
0.088 0.588 0.500 La
0.412 0.912 0.500 La
0.588 0.088 0.500 La
0.912 0.412 0.500 La
0.334 0.334 0.000 Sn
0.500 0.500 0.000 Sn
0.666 0.666 0.000 Sn
0.065 0.065 0.000 Br
0.935 0.935 0.000 Br

---

No. 8
AcLaTeBr | the Alexandria database | GGA-PBE | optimized geometry; DFT total energy = -18.99 eV per cell; ΔE_f (raw) = -1.2857 eV per atom
1.0
0.000 3.937 3.937
3.937 0.000 3.937
3.937 3.937 0.000
Ac La Te Br
1 1 1 1
Direct
0.000 0.000 0.000 Ac
0.500 0.500 0.500 La
0.250 0.250 0.250 Te
0.750 0.750 0.750 Br

---

No. 9
AcLaTlBr | the Alexandria database | GGA-PBE | optimized geometry; DFT total energy = -16.24 eV per cell; ΔE_f (raw) = -0.7917 eV per atom; energy relative to the lowest polymorph listed for this composition = 0.000 eV/atom
1.0
2.390 1.380 7.082
-2.390 1.380 7.082
0.000 -2.760 7.082
Ac La Tl Br
1 1 1 1
Direct
0.000 0.000 0.000 Ac
0.502 0.502 0.502 La
0.247 0.247 0.247 Tl
0.754 0.754 0.754 Br

---

No. 10
AcLaTlBr | the Alexandria database | GGA-PBE | optimized geometry; DFT total energy = -15.90 eV per cell; ΔE_f (raw) = -0.7055 eV per atom; energy relative to the lowest polymorph listed for this composition = 0.086 eV/atom
1.0
0.000 4.015 4.015
4.015 0.000 4.015
4.015 4.015 0.000
Ac La Tl Br
1 1 1 1
Direct
0.000 0.000 0.000 Ac
0.500 0.500 0.500 La
0.250 0.250 0.250 Tl
0.750 0.750 0.750 Br

---

No. 11
LiAcBr4 | the Alexandria database | GGA-PBE | optimized geometry; DFT total energy = -23.62 eV per cell; ΔE_f (raw) = -1.8182 eV per atom; energy relative to the lowest polymorph listed for this composition = 0.053 eV/atom
1.0
3.744 -3.668 0.000
3.744 3.668 0.000
-1.846 0.000 7.087
Li Ac Br
1 1 4
Direct
0.000 0.000 0.000 Li
0.505 0.505 0.496 Ac
0.067 0.573 0.752 Br
0.437 0.943 0.239 Br
0.573 0.067 0.752 Br
0.943 0.437 0.239 Br

---

No. 12
Li2AcBr6 | the Alexandria database | GGA-PBE | optimized geometry; DFT total energy = -31.21 eV per cell; ΔE_f (raw) = -1.4706 eV per atom
1.0
6.740 -2.883 0.000
6.740 2.883 0.000
-5.948 0.000 7.391
Li Ac Br
2 1 6
Direct
0.178 0.178 0.062 Li
0.822 0.822 0.938 Li
0.000 0.000 0.500 Ac
0.059 0.059 0.237 Br
0.268 0.268 0.882 Br
0.364 0.364 0.434 Br
0.636 0.636 0.566 Br
0.732 0.732 0.118 Br
0.941 0.941 0.763 Br